# ScAgW

ScAgW after structural relaxation (GGA-PBE, Alexandria).

- Offset from the most stable computed form: 0 meV per atom
- M_tot: 0.00 μB/cell
- E_form: 0.72 eV per formula unit
- DOS at the Fermi energy: 3.8 states/eV/cell

Structure (CIF):
```
data_ScAgW
_chemical_formula_sum 'Sc2 Ag2 W2'
_cell_length_a 2.821
_cell_length_b 2.821
_cell_length_c 13.584
_cell_angle_alpha 90.00
_cell_angle_beta 90.00
_cell_angle_gamma 90.00
_space_group_name_H-M_alt 'I 4 m m'
_space_group_IT_number 107
_space_group_name_Hall 'I 4 -2'
loop_
_atom_site_label
_atom_site_fract_x
_atom_site_fract_y
_atom_site_fract_z
Sc1 0.000 0.000 0.000
Ag1 0.000 0.000 0.326
W1 0.000 0.000 0.663
```